# RbLiMgSn | Alexandria via LeMat-Bulk | GGA-PBE | optimized geometry
# raw total energy = -2.177 eV per atom
data_RbLiMgSn
_chemical_formula_sum 'Rb4 Li4 Mg4 Sn4'
_cell_length_a 7.577
_cell_length_b 7.577
_cell_length_c 7.577
_cell_angle_alpha 90.00
_cell_angle_beta 90.00
_cell_angle_gamma 90.00
_space_group_name_H-M_alt 'F -4 3 m'
_space_group_IT_number 216
_space_group_name_Hall 'F -4 2 3'
loop_
_atom_site_label
_atom_site_type_symbol
_atom_site_fract_x
_atom_site_fract_y
_atom_site_fract_z
Rb1 Rb 0.000 0.000 0.000
Li1 Li 0.250 0.250 0.750
Mg1 Mg 0.250 0.250 0.250
Sn1 Sn 0.000 0.000 0.500


# Rb2LiMgTa | Alexandria via LeMat-Bulk | GGA-PBE | optimized geometry
# raw total energy = -2.113 eV per atom
data_Rb2LiMgTa
_chemical_formula_sum 'Rb2 Li1 Mg1 Ta1'
_cell_length_a 6.823
_cell_length_b 6.823
_cell_length_c 5.609
_cell_angle_alpha 90.00
_cell_angle_beta 90.00
_cell_angle_gamma 90.00
_space_group_name_H-M_alt 'P 4/m m m'
_space_group_IT_number 123
_space_group_name_Hall '-P 4 2'
loop_
_atom_site_label
_atom_site_type_symbol
_atom_site_fract_x
_atom_site_fract_y
_atom_site_fract_z
Rb1 Rb 0.000 0.500 0.000
Li1 Li 0.000 0.000 0.500
Mg1 Mg 0.500 0.500 0.000
Ta1 Ta 0.500 0.500 0.500


# RbLiMg2Ta | Alexandria via LeMat-Bulk | GGA-PBE | optimized geometry
# raw total energy = -2.310 eV per atom
data_RbLiMg2Ta
_chemical_formula_sum 'Rb1 Li1 Mg2 Ta1'
_cell_length_a 5.649
_cell_length_b 5.649
_cell_length_c 6.358
_cell_angle_alpha 90.00
_cell_angle_beta 90.00
_cell_angle_gamma 90.00
_space_group_name_H-M_alt 'P 4/m m m'
_space_group_IT_number 123
_space_group_name_Hall '-P 4 2'
loop_
_atom_site_label
_atom_site_type_symbol
_atom_site_fract_x
_atom_site_fract_y
_atom_site_fract_z
Rb1 Rb 0.000 0.000 0.000
Li1 Li 0.500 0.500 0.000
Mg1 Mg 0.000 0.500 0.500
Ta1 Ta 0.000 0.000 0.500


# RbLiMgTe2 | Alexandria via LeMat-Bulk | GGA-PBE | optimized geometry
# uncorrected formation energy = -1.032 eV per atom
# raw total energy = -3.184 eV per atom
data_RbLiMgTe2
_chemical_formula_sum 'Rb4 Li4 Mg4 Te8'
_cell_length_a 15.069
_cell_length_b 4.635
_cell_length_c 11.511
_cell_angle_alpha 90.00
_cell_angle_beta 122.22
_cell_angle_gamma 90.00
_space_group_name_H-M_alt 'C 1 2/m 1'
_space_group_IT_number 12
loop_
_space_group_symop_operation_xyz
'x,y,z'
'-x,-y,-z'
'-x,y,-z'
'x,-y,z'
'x+1/2,y+1/2,z'
'-x+1/2,-y+1/2,-z'
'-x+1/2,y+1/2,-z'
'x+1/2,-y+1/2,z'
loop_
_atom_site_label
_atom_site_type_symbol
_atom_site_fract_x
_atom_site_fract_y
_atom_site_fract_z
Rb1 Rb 0.171 0.000 0.134
Li1 Li 0.150 0.500 0.432
Mg1 Mg 0.032 0.000 0.676
Te1 Te 0.044 0.500 0.825
Te2 Te 0.167 0.000 0.577